Entry 1:
Here is crystalline Cs3Tl4Ag at its relaxed geometry from Alexandria via LeMat-Bulk. Energies are from GGA-PBE. Values from VASP.

```
&SYSTEM
  ibrav = 0, nat = 16, ntyp = 3
/
ATOMIC_SPECIES
Cs 132.91 Cs.upf
Tl 204.38 Tl.upf
Ag 107.87 Ag.upf
CELL_PARAMETERS angstrom
6.7618 0.0000 0.0000
0.0000 15.4201 0.0000
0.0000 0.0000 7.2033
ATOMIC_POSITIONS crystal
Cs 0.2500 0.0133 0.2051
Cs 0.2500 0.4867 0.2051
Cs 0.2500 0.7500 0.5086
Cs 0.7500 0.2500 0.4914
Cs 0.7500 0.5133 0.7949
Cs 0.7500 0.9867 0.7949
Tl 0.0155 0.7500 0.0029
Tl 0.2500 0.1405 0.6897
Tl 0.2500 0.3595 0.6897
Tl 0.4845 0.7500 0.0029
Tl 0.5155 0.2500 0.9971
Tl 0.7500 0.6405 0.3103
Tl 0.7500 0.8595 0.3103
Tl 0.9845 0.2500 0.9971
Ag 0.2500 0.2500 0.3393
Ag 0.7500 0.7500 0.6607
```

Output
The formation energy comes out at -0.036 eV per atom.

---

Entry 2:
Here is crystalline Dy3ZrCd12 at its relaxed geometry from Alexandria via LeMat-Bulk. Energies are from GGA-PBE. Values from VASP.

```
&SYSTEM
  ibrav = 0, nat = 16, ntyp = 3
/
ATOMIC_SPECIES
Dy 162.50 Dy.upf
Zr 91.22 Zr.upf
Cd 112.41 Cd.upf
CELL_PARAMETERS angstrom
4.4856 0.0000 0.0000
0.0000 4.4856 0.0000
0.0000 0.0000 18.6716
ATOMIC_POSITIONS crystal
Dy 0.0000 0.0000 0.0000
Dy 0.0000 0.0000 0.2556
Dy 0.0000 0.0000 0.7444
Zr 0.0000 0.0000 0.5000
Cd 0.0000 0.5000 0.1281
Cd 0.0000 0.5000 0.3823
Cd 0.0000 0.5000 0.6177
Cd 0.0000 0.5000 0.8719
Cd 0.5000 0.0000 0.1281
Cd 0.5000 0.0000 0.3823
Cd 0.5000 0.0000 0.6177
Cd 0.5000 0.0000 0.8719
Cd 0.5000 0.5000 0.0000
Cd 0.5000 0.5000 0.2564
Cd 0.5000 0.5000 0.5000
Cd 0.5000 0.5000 0.7436
```

Output
The formation energy comes out at -0.204 eV per atom.

---

Entry 3:
Here is crystalline LuNiPb at its relaxed geometry from Alexandria via LeMat-Bulk. Energies are from GGA-PBE. Values from VASP.

```
&SYSTEM
  ibrav = 0, nat = 9, ntyp = 3
/
ATOMIC_SPECIES
Lu 174.97 Lu.upf
Ni 58.69 Ni.upf
Pb 207.20 Pb.upf
CELL_PARAMETERS angstrom
7.4673 0.0000 0.0000
-3.7337 6.4669 0.0000
0.0000 0.0000 3.7936
ATOMIC_POSITIONS crystal
Lu 0.0000 0.5983 0.0000
Lu 0.4017 0.4017 0.0000
Lu 0.5983 0.0000 0.0000
Ni 0.0000 0.0000 0.0000
Ni 0.3333 0.6667 0.5000
Ni 0.6667 0.3333 0.5000
Pb 0.0000 0.2660 0.5000
Pb 0.2660 0.0000 0.5000
Pb 0.7340 0.7340 0.5000
```

Output
The formation energy comes out at -0.411 eV per atom.

---

Entry 4:
Here is crystalline TbUCdO6 at its relaxed geometry from Alexandria via LeMat-Bulk. Energies are from GGA-PBE. Values from VASP.

```
&SYSTEM
  ibrav = 0, nat = 9, ntyp = 4
/
ATOMIC_SPECIES
Tb 158.93 Tb.upf
U 238.03 U.upf
Cd 112.41 Cd.upf
O 16.00 O.upf
CELL_PARAMETERS angstrom
5.8432 0.0000 0.0000
-2.9216 5.0604 0.0000
0.0000 0.0000 4.5998
ATOMIC_POSITIONS crystal
Tb 0.0000 0.0000 0.0000
U 0.3333 0.6667 0.0000
Cd 0.6667 0.3333 0.5000
O 0.0300 0.3595 0.2308
O 0.0300 0.6705 0.7692
O 0.3295 0.3595 0.7692
O 0.3295 0.9700 0.2308
O 0.6405 0.6705 0.2308
O 0.6405 0.9700 0.7692
```

Output
Its energy relative to the elements, uncorrected is -235.6 kJ/mol of atoms.

---

Entry 5:
Here is crystalline Pm7Nd3Mg at its relaxed geometry from Alexandria via LeMat-Bulk. Energies are from GGA-PBE. Values from VASP.

```
&SYSTEM
  ibrav = 0, nat = 11, ntyp = 3
/
ATOMIC_SPECIES
Pm 145.00 Pm.upf
Nd 144.24 Nd.upf
Mg 24.30 Mg.upf
CELL_PARAMETERS angstrom
7.1547 0.0000 0.0000
-3.5773 6.1961 0.0000
0.0000 0.0000 8.7849
ATOMIC_POSITIONS crystal
Pm 0.0000 0.0000 0.0000
Pm 0.1646 0.3291 0.3306
Pm 0.1646 0.8354 0.3306
Pm 0.5003 0.0005 0.0038
Pm 0.5003 0.4997 0.0038
Pm 0.6709 0.8354 0.3306
Pm 0.9995 0.4997 0.0038
Nd 0.3310 0.1655 0.6668
Nd 0.8345 0.1655 0.6668
Nd 0.8345 0.6690 0.6668
Mg 0.6667 0.3333 0.3284
```

Output
The formation energy comes out at 0.168 eV per atom.

---

Entry 6:
Here is crystalline RhAuICl at its relaxed geometry from Alexandria via LeMat-Bulk. Energies are from GGA-PBE. Values from VASP.

```
&SYSTEM
  ibrav = 0, nat = 4, ntyp = 4
/
ATOMIC_SPECIES
Rh 102.91 Rh.upf
Au 196.97 Au.upf
I 126.90 I.upf
Cl 35.45 Cl.upf
CELL_PARAMETERS angstrom
4.0653 0.0000 0.0000
1.0915 3.9582 0.0000
0.0815 0.1253 6.4167
ATOMIC_POSITIONS crystal
Rh 0.0000 0.0000 0.0000
Au 0.1162 0.1108 0.3974
I 0.6195 0.6175 0.1284
Cl 0.2707 0.2612 0.7293
```

Output
The excess energy over the best structure of this formula in the dataset comes out at 0.271 eV per atom. Its energy relative to the elements, uncorrected is 14.1 kJ/mol of atoms.

---

Entry 7:
Here is crystalline CrSb2P at its relaxed geometry from Alexandria via LeMat-Bulk. Energies are from GGA-PBE. Values from VASP.

```
&SYSTEM
  ibrav = 0, nat = 4, ntyp = 3
/
ATOMIC_SPECIES
Cr 52.00 Cr.upf
Sb 121.76 Sb.upf
P 30.97 P.upf
CELL_PARAMETERS angstrom
1.5951 0.9209 9.2069
-1.5951 0.9209 9.2069
0.0000 -1.8418 9.2069
ATOMIC_POSITIONS crystal
Cr 0.0000 0.0000 0.0000
Sb 0.5294 0.5294 0.5294
Sb 0.7400 0.7400 0.7400
P 0.2812 0.2812 0.2812
```

Output
Its energy relative to the elements, uncorrected is 15.9 kJ/mol of atoms.

---

Entry 8:
Here is crystalline SrPm2HoS4 at its relaxed geometry from Alexandria via LeMat-Bulk. Energies are from GGA-PBE. Values from VASP.

```
&SYSTEM
  ibrav = 0, nat = 8, ntyp = 4
/
ATOMIC_SPECIES
Sr 87.62 Sr.upf
Pm 145.00 Pm.upf
Ho 164.93 Ho.upf
S 32.06 S.upf
CELL_PARAMETERS angstrom
7.0057 0.0000 0.0000
0.0000 4.0184 0.0000
-2.2930 0.0000 6.6485
ATOMIC_POSITIONS crystal
Sr 0.0000 0.0000 0.0000
Pm 0.0000 0.5000 0.5000
Pm 0.5000 0.0000 0.5000
Ho 0.5000 0.5000 0.0000
S 0.2611 0.5000 0.2507
S 0.2621 0.0000 0.7577
S 0.7379 0.0000 0.2423
S 0.7389 0.5000 0.7493
```

Output
Its energy relative to the elements, uncorrected is -193.6 kJ/mol of atoms.

---

Entry 9:
Here is crystalline InBPdPt2 at its relaxed geometry from Alexandria via LeMat-Bulk. Energies are from GGA-PBE. Values from VASP.

```
&SYSTEM
  ibrav = 0, nat = 5, ntyp = 4
/
ATOMIC_SPECIES
In 114.82 In.upf
B 10.81 B.upf
Pd 106.42 Pd.upf
Pt 195.08 Pt.upf
CELL_PARAMETERS angstrom
4.2241 0.0000 0.0000
0.0000 4.2241 0.0000
0.0000 0.0000 4.3395
ATOMIC_POSITIONS crystal
In 0.0000 0.0000 0.0000
B 0.5000 0.5000 0.5000
Pd 0.5000 0.5000 0.0000
Pt 0.0000 0.5000 0.5000
Pt 0.5000 0.0000 0.5000
```

Output
The formation energy comes out at -0.285 eV per atom.

---

Entry 10:
Here is crystalline CsPbN2O at its relaxed geometry from Alexandria via LeMat-Bulk. Energies are from GGA-PBE. Values from VASP.

```
&SYSTEM
  ibrav = 0, nat = 5, ntyp = 4
/
ATOMIC_SPECIES
Cs 132.91 Cs.upf
Pb 207.20 Pb.upf
N 14.01 N.upf
O 16.00 O.upf
CELL_PARAMETERS angstrom
4.5146 0.0000 0.0000
0.0000 4.5146 0.0000
0.0000 0.0000 4.5151
ATOMIC_POSITIONS crystal
Cs 0.0000 0.0000 0.0000
Pb 0.5000 0.5000 0.5000
N 0.0000 0.5000 0.5000
N 0.5000 0.0000 0.5000
O 0.5000 0.5000 0.0000
```

Output
Its energy relative to the elements, uncorrected is 85.0 kJ/mol of atoms.

---

Entry 11:
Here is crystalline KLaSiO4 at its relaxed geometry from Alexandria via LeMat-Bulk. Energies are from GGA-PBE. Values from VASP.

```
&SYSTEM
  ibrav = 0, nat = 14, ntyp = 4
/
ATOMIC_SPECIES
K 39.10 K.upf
La 138.91 La.upf
Si 28.09 Si.upf
O 16.00 O.upf
CELL_PARAMETERS angstrom
5.9416 0.0000 0.0000
0.0000 5.6964 0.0000
-1.5331 0.0000 7.2950
ATOMIC_POSITIONS crystal
K 0.1782 0.2500 0.4109
K 0.8218 0.7500 0.5891
La 0.2729 0.2500 0.9413
La 0.7271 0.7500 0.0587
Si 0.2493 0.7500 0.1692
Si 0.7507 0.2500 0.8308
O 0.0661 0.7500 0.3065
O 0.0938 0.7500 0.9562
O 0.4245 0.5213 0.1885
O 0.4245 0.9787 0.1885
O 0.5755 0.0213 0.8115
O 0.5755 0.4787 0.8115
O 0.9062 0.2500 0.0438
O 0.9339 0.2500 0.6935
```

Output
Its energy relative to the elements, uncorrected is -277.9 kJ/mol of atoms.

---

Entry 12:
Here is crystalline K2GaF5 at its relaxed geometry from Alexandria via LeMat-Bulk. Energies are from GGA-PBE. Values from VASP.

```
&SYSTEM
  ibrav = 0, nat = 8, ntyp = 3
/
ATOMIC_SPECIES
K 39.10 K.upf
Ga 69.72 Ga.upf
F 19.00 F.upf
CELL_PARAMETERS angstrom
3.8804 -4.4062 0.0000
3.8804 4.4062 0.0000
-3.8781 0.0000 4.4055
ATOMIC_POSITIONS crystal
K 0.2502 0.7498 0.0000
K 0.7498 0.2502 0.0000
Ga 0.0169 0.0169 0.5002
F 0.1701 0.1701 0.9169
F 0.1704 0.7536 0.4998
F 0.2499 0.2499 0.5018
F 0.7536 0.1704 0.4998
F 0.7544 0.7544 0.0831
```

Output
Its energy relative to the elements, uncorrected is -264.3 kJ/mol of atoms.

---

Entry 13:
Here is crystalline CaAc2Rh2 at its relaxed geometry from Alexandria via LeMat-Bulk. Energies are from GGA-PBE. Values from VASP.

```
&SYSTEM
  ibrav = 0, nat = 10, ntyp = 3
/
ATOMIC_SPECIES
Ca 40.08 Ca.upf
Ac 227.00 Ac.upf
Rh 102.91 Rh.upf
CELL_PARAMETERS angstrom
8.1915 0.0000 0.0000
0.0000 8.1915 0.0000
0.0000 0.0000 4.1086
ATOMIC_POSITIONS crystal
Ca 0.0000 0.0000 0.0000
Ca 0.5000 0.5000 0.0000
Ac 0.1584 0.3416 0.5000
Ac 0.3416 0.8416 0.5000
Ac 0.6584 0.1584 0.5000
Ac 0.8416 0.6584 0.5000
Rh 0.1403 0.6403 0.0000
Rh 0.3597 0.1403 0.0000
Rh 0.6403 0.8597 0.0000
Rh 0.8597 0.3597 0.0000
```

Output
The excess energy over the best structure of this formula in the dataset comes out at 0.000 eV per atom. The formation energy comes out at -0.540 eV per atom.

---

Entry 14:
Here is crystalline Er2Th2Sc at its relaxed geometry from Alexandria via LeMat-Bulk. Energies are from GGA-PBE. Values from VASP.

```
&SYSTEM
  ibrav = 0, nat = 10, ntyp = 3
/
ATOMIC_SPECIES
Er 167.26 Er.upf
Th 232.04 Th.upf
Sc 44.96 Sc.upf
CELL_PARAMETERS angstrom
6.9719 0.0000 0.0000
0.0000 5.5191 0.0000
-2.9128 0.0000 8.5567
ATOMIC_POSITIONS crystal
Er 0.1257 0.2500 0.4743
Er 0.3323 0.7500 0.9465
Er 0.6677 0.2500 0.0535
Er 0.8743 0.7500 0.5257
Th 0.1439 0.2500 0.0682
Th 0.4508 0.7500 0.6279
Th 0.5492 0.2500 0.3721
Th 0.8561 0.7500 0.9318
Sc 0.2138 0.7500 0.2742
Sc 0.7862 0.2500 0.7258
```

Output
The excess energy over the best structure of this formula in the dataset comes out at 0.000 eV per atom. The formation energy comes out at 0.327 eV per atom.

---

Entry 15:
Here is crystalline Te7Rh at its relaxed geometry from Alexandria via LeMat-Bulk. Energies are from GGA-PBE. Values from VASP.

```
&SYSTEM
  ibrav = 0, nat = 8, ntyp = 2
/
ATOMIC_SPECIES
Te 127.60 Te.upf
Rh 102.91 Rh.upf
CELL_PARAMETERS angstrom
0.0000 4.7139 4.7139
4.7139 0.0000 4.7139
4.7139 4.7139 0.0000
ATOMIC_POSITIONS crystal
Te 0.0000 0.0000 0.0000
Te 0.0000 0.0000 0.5000
Te 0.0000 0.5000 0.0000
Te 0.0000 0.5000 0.5000
Te 0.5000 0.0000 0.0000
Te 0.5000 0.0000 0.5000
Te 0.5000 0.5000 0.0000
Rh 0.5000 0.5000 0.5000
```

Output
Its energy relative to the elements, uncorrected is 52.8 kJ/mol of atoms.

---

Entry 16:
Here is crystalline Cd2WCl at its relaxed geometry from Alexandria via LeMat-Bulk. Energies are from GGA-PBE. Values from VASP.

```
&SYSTEM
  ibrav = 0, nat = 4, ntyp = 3
/
ATOMIC_SPECIES
Cd 112.41 Cd.upf
W 183.84 W.upf
Cl 35.45 Cl.upf
CELL_PARAMETERS angstrom
5.5250 0.0000 0.0000
0.0000 5.5250 0.0000
0.0000 0.0000 2.7213
ATOMIC_POSITIONS crystal
Cd 0.0000 0.5000 0.0000
Cd 0.5000 0.0000 0.0000
W 0.0000 0.0000 0.5000
Cl 0.5000 0.5000 0.5000
```

Output
The excess energy over the best structure of this formula in the dataset comes out at 0.451 eV per atom. Its energy relative to the elements, uncorrected is 56.8 kJ/mol of atoms.

---

Entry 17:
Here is crystalline SrTlCuAgRh at its relaxed geometry from Alexandria via LeMat-Bulk. Energies are from GGA-PBE. Values from VASP.

```
&SYSTEM
  ibrav = 0, nat = 5, ntyp = 5
/
ATOMIC_SPECIES
Sr 87.62 Sr.upf
Tl 204.38 Tl.upf
Cu 63.55 Cu.upf
Ag 107.87 Ag.upf
Rh 102.91 Rh.upf
CELL_PARAMETERS angstrom
3.2871 0.0000 0.0000
1.6309 5.5205 0.0000
1.6335 0.1794 5.7507
ATOMIC_POSITIONS crystal
Sr 0.0000 0.0000 0.0000
Tl 0.3818 0.7486 0.4861
Cu 0.1775 0.4547 0.1911
Ag 0.6218 0.2273 0.5285
Rh 0.8098 0.5317 0.8486
```

Output
The excess energy over the best structure of this formula in the dataset comes out at 0.127 eV per atom. The formation energy comes out at 0.022 eV per atom.

---

Entry 18:
Here is crystalline Sr3Si2Pd4 at its relaxed geometry from Alexandria via LeMat-Bulk. Energies are from GGA-PBE. Values from VASP.

```
&SYSTEM
  ibrav = 0, nat = 9, ntyp = 3
/
ATOMIC_SPECIES
Sr 87.62 Sr.upf
Si 28.09 Si.upf
Pd 106.42 Pd.upf
CELL_PARAMETERS angstrom
5.6188 -2.1190 0.0000
5.6188 2.1190 0.0000
-1.8731 0.0000 8.6698
ATOMIC_POSITIONS crystal
Sr 0.0000 0.0000 0.0000
Sr 0.3809 0.3809 0.6160
Sr 0.6191 0.6191 0.3840
Si 0.3194 0.3194 0.2068
Si 0.6806 0.6806 0.7932
Pd 0.0951 0.0951 0.6463
Pd 0.2709 0.2709 0.9134
Pd 0.7291 0.7291 0.0866
Pd 0.9049 0.9049 0.3537
```

Output
The excess energy over the best structure of this formula in the dataset comes out at 0.012 eV per atom. Its energy relative to the elements, uncorrected is -66.6 kJ/mol of atoms.